VASP calculation (PBE-GGA) on a geometry-optimized Na2Al2I structure.

## Properties
Space-group type: P4/mbm, No. 127
DOS at the Fermi energy (states/eV/f.u.): 4.02
Raw total energy (eV for the cell shown): -21.90
Magnetization (μB/cell): 0.000
Energy relative to the elements, uncorrected (eV per atom): 0.144

Cell: 8.634 8.634 4.126 Å, 90.00 90.00 90.00°
Sites, in units of the cell vectors:
Na (0.186, 0.314, 0.000)
Na (0.314, 0.814, 0.000)
Na (0.686, 0.186, 0.000)
Na (0.814, 0.686, 0.000)
Al (0.106, 0.606, 0.500)
Al (0.394, 0.106, 0.500)
Al (0.606, 0.894, 0.500)
Al (0.894, 0.394, 0.500)
I (0.000, 0.000, 0.000)
I (0.500, 0.500, 0.000)

***

VASP calculation (PBE-GGA) on a geometry-optimized NaAlI2 structure.

## Properties
Space-group type: Fm-3m, No. 225
DOS at the Fermi energy (states/eV/f.u.): 0.00
Raw total energy (eV for the cell shown): -10.07
Magnetization (μB/cell): 0.000
Energy relative to the elements, uncorrected (eV per atom): -0.476

Cell: 5.716 5.716 5.716 Å, 60.00 60.00 60.00°
Sites, in units of the cell vectors:
Na (0.000, 0.000, 0.000)
Al (0.500, 0.500, 0.500)
I (0.250, 0.250, 0.250)
I (0.750, 0.750, 0.750)